Entry 1:
Entry from Alexandria: a relaxed AgAs2SeBr crystal (PBE).

Cell: 5.1284 5.1284 4.9889 Å, 90.00 90.00 90.00°
With the nearest neighbours (Å) after each atom.
Fractional coordinates of all 5 atoms:
1 As 0.0000 0.5000 0.0000  2 Ag 2.56
2 As 0.5000 0.0000 0.0000  2 Ag 2.56
3 Se 0.5000 0.5000 0.5000  8 As 3.58, 4 Br 3.63
4 Br 0.0000 0.0000 0.5000  2 Ag 2.49
5 Ag 0.0000 0.0000 0.0000  2 Br 2.49, 4 As 2.56

Results
total magnetic moment: 0.4 μB per cell
total DFT energy (no corrections): -13.19 eV per cell
formation energy from raw total energies: 823 meV/atom
Fermi-level density of states: 2.9 states/eV per cell
ΔE to the lowest computed polymorph: 22 meV per atom

Entry 2:
Entry from Alexandria: a relaxed AgAs2SeBr crystal (PBE).

Cell: 5.1623 5.1623 4.9810 Å, 90.00 90.00 90.00°
With the nearest neighbours (Å) after each atom.
Fractional coordinates of all 5 atoms:
1 As 0.0000 0.5000 0.0000  2 Ag 2.58
2 As 0.5000 0.0000 0.0000  2 Ag 2.58
3 Se 0.0000 0.0000 0.5000  2 Ag 2.49
4 Br 0.5000 0.5000 0.5000  8 As 3.59, 4 Se 3.65
5 Ag 0.0000 0.0000 0.0000  2 Se 2.49, 4 As 2.58

Results
total magnetic moment: 0.4 μB per cell
total DFT energy (no corrections): -13.11 eV per cell
formation energy from raw total energies: 840 meV/atom
Fermi-level density of states: 5.9 states/eV per cell
ΔE to the lowest computed polymorph: 39 meV per atom

Entry 3:
Entry from Alexandria: a relaxed SiAgAs2Br crystal (PBE).

Cell: 4.8267 4.8267 5.2236 Å, 90.00 90.00 90.00°
With the nearest neighbours (Å) after each atom.
Fractional coordinates of all 5 atoms:
1 As 0.0000 0.5000 0.0000  2 Si 2.41
2 As 0.5000 0.0000 0.0000  2 Si 2.41
3 Si 0.0000 0.0000 0.0000  4 As 2.41, 2 Br 2.61
4 Br 0.0000 0.0000 0.5000  2 Si 2.61
5 Ag 0.5000 0.5000 0.5000  4 Br 3.41, 8 As 3.56

Results
total magnetic moment: 0.8 μB per cell
total DFT energy (no corrections): -16.17 eV per cell
formation energy from raw total energies: 616 meV/atom
Fermi-level density of states: 4.3 states/eV per cell
ΔE to the lowest computed polymorph: 0 meV per atom